A | DFT (PBE) results for Li7GePd3 after structural relaxation.

abc: 2.790 10.254 12.260
angles: 90.00 90.00 97.82
Fractional coordinates of all 22 atoms:
1 Li 0.313 0.625 0.750
2 Li 0.687 0.375 0.250
3 Li 0.553 0.105 0.369
4 Li 0.447 0.895 0.631
5 Li 0.447 0.895 0.869
6 Li 0.553 0.105 0.131
7 Li 0.410 0.819 0.411
8 Li 0.590 0.181 0.589
9 Li 0.280 0.561 0.407
10 Li 0.720 0.439 0.593
11 Li 0.720 0.439 0.907
12 Li 0.280 0.561 0.093
13 Li 0.410 0.819 0.089
14 Li 0.590 0.181 0.911
15 Ge 0.966 0.932 0.250
16 Ge 0.034 0.068 0.750
17 Pd 0.155 0.311 0.435
18 Pd 0.845 0.689 0.565
19 Pd 0.158 0.317 0.750
20 Pd 0.842 0.683 0.250
21 Pd 0.155 0.311 0.065
22 Pd 0.845 0.689 0.935

total magnetization: 0.000 μB/atom
volume: 15.8 Å³ per atom
DOS at the Fermi energy: 0.33 states/eV per atom

=====

B | DFT (PBE) results for Li7GePd3 after structural relaxation.

abc: 6.160 5.789 5.789
angles: 120.00 90.00 90.00
Fractional coordinates of all 11 atoms:
1 Li 0.083 0.168 0.832
2 Li 0.083 0.168 0.336
3 Li 0.114 0.667 0.333
4 Li 0.484 0.842 0.158
5 Li 0.484 0.315 0.158
6 Li 0.484 0.842 0.685
7 Li 0.083 0.664 0.832
8 Ge 0.464 0.333 0.667
9 Pd 0.778 0.503 0.497
10 Pd 0.778 0.503 0.006
11 Pd 0.778 0.994 0.497

total magnetization: 0.000 μB/atom
volume: 16.3 Å³ per atom
DOS at the Fermi energy: 0.50 states/eV per atom

=====

A takes first place; second place is 85 meV/atom up.

=====

A | DFT (PBE) results for Li2GePd4 after structural relaxation.

abc: 4.623 4.623 7.120
angles: 71.06 71.06 90.00
Fractional coordinates of all 7 atoms:
1 Ge 0.000 0.000 0.000
2 Pd 0.186 0.186 0.628
3 Pd 0.814 0.814 0.372
4 Pd 0.000 0.500 0.000
5 Pd 0.500 0.000 0.000
6 Li 0.384 0.384 0.231
7 Li 0.616 0.616 0.769

total magnetization: 0.000 μB/atom
volume: 19.3 Å³ per atom
DOS at the Fermi energy: 0.37 states/eV per atom

=====

B | DFT (PBE) results for Li2GePd4 after structural relaxation.

abc: 4.309 5.265 9.250
angles: 90.00 103.46 90.00
Fractional coordinates of all 14 atoms:
1 Li 0.508 0.750 0.015
2 Li 0.492 0.250 0.985
3 Li 0.203 0.250 0.406
4 Li 0.797 0.750 0.594
5 Ge 0.090 0.750 0.181
6 Ge 0.910 0.250 0.819
7 Pd 0.637 0.500 0.274
8 Pd 0.947 0.750 0.893
9 Pd 0.053 0.250 0.107
10 Pd 0.637 0.000 0.274
11 Pd 0.775 0.250 0.551
12 Pd 0.363 0.000 0.726
13 Pd 0.363 0.500 0.726
14 Pd 0.225 0.750 0.449

total magnetization: 0.000 μB/atom
volume: 14.6 Å³ per atom
DOS at the Fermi energy: 0.29 states/eV per atom

=====

C | DFT (PBE) results for Li2GePd4 after structural relaxation.

abc: 5.117 5.117 5.117
angles: 109.73 109.34 109.34
Fractional coordinates of all 7 atoms:
1 Li 0.500 0.500 0.000
2 Li 0.500 0.000 0.500
3 Ge 0.000 0.000 0.000
4 Pd 0.500 0.000 0.000
5 Pd 0.500 0.500 0.500
6 Pd 0.000 0.000 0.500
7 Pd 0.000 0.500 0.000

total magnetization: 0.000 μB/atom
volume: 14.7 Å³ per atom
DOS at the Fermi energy: 0.27 states/eV per atom

=====

C takes first place; second place is 6 meV/atom up.

=====

A | DFT (PBE) results for Li3GePd after structural relaxation.

abc: 4.636 4.636 4.636
angles: 90.00 90.00 90.00
Site moments in Bohr magnetons follow the coordinates.
Fractional coordinates of all 5 atoms:
1 Ge 0.000 0.000 0.000  0.24
2 Pd 0.500 0.500 0.500  0.17
3 Li 0.000 0.500 0.000  0.01
4 Li 0.000 0.000 0.500  0.03
5 Li 0.500 0.000 0.000  0.00

total magnetization: 0.138 μB/atom
volume: 19.9 Å³ per atom
DOS at the Fermi energy: 0.54 states/eV per atom

=====

B | DFT (PBE) results for Li3GePd after structural relaxation.

abc: 3.000 8.525 6.495
angles: 90.00 90.00 90.00
Fractional coordinates of all 10 atoms:
1 Li 0.250 0.476 0.266
2 Li 0.750 0.524 0.734
3 Li 0.250 0.024 0.266
4 Li 0.750 0.976 0.734
5 Li 0.250 0.250 0.798
6 Li 0.750 0.750 0.202
7 Ge 0.750 0.250 0.483
8 Ge 0.250 0.750 0.517
9 Pd 0.750 0.250 0.105
10 Pd 0.250 0.750 0.895

total magnetization: 0.000 μB/atom
volume: 16.6 Å³ per atom
DOS at the Fermi energy: 0.45 states/eV per atom

=====

C | DFT (PBE) results for Li3GePd after structural relaxation.

abc: 4.600 4.600 4.600
angles: 90.00 90.00 90.00
Fractional coordinates of all 5 atoms:
1 Ge 0.500 0.500 0.500
2 Pd 0.000 0.000 0.000
3 Li 0.000 0.500 0.000
4 Li 0.000 0.000 0.500
5 Li 0.500 0.000 0.000

total magnetization: 0.000 μB/atom
volume: 19.5 Å³ per atom
DOS at the Fermi energy: 0.50 states/eV per atom

=====

D | DFT (PBE) results for Li3GePd after structural relaxation.

abc: 4.736 8.113 5.875
angles: 133.69 123.00 37.98
Fractional coordinates of all 5 atoms:
1 Li 0.000 0.000 0.500
2 Li 0.000 0.500 0.500
3 Li 0.000 0.500 0.000
4 Ge 0.000 0.000 0.000
5 Pd 0.500 0.000 0.000

total magnetization: 0.000 μB/atom
volume: 20.1 Å³ per atom
DOS at the Fermi energy: 0.25 states/eV per atom

=====

D takes first place; second place is 14 meV/atom up.